First-principles (PBE) data for crystalline ScAsW2 at its relaxed geometry, as listed in the Alexandria database.

Calculated values
**Energy relative to the elements**: 6 kJ/mol of atoms
**Space-group type**: C2/m

Lattice parameters (Å, degrees): 5.1330 5.1330 4.4807 102.50 102.50 36.53
Positions (direct):
Sc 0.0000 0.0000 0.0000
As 0.5000 0.5000 0.5000
W 0.2389 0.2389 0.7275
W 0.7611 0.7611 0.2725


First-principles (PBE) data for crystalline Si2AsOs at its relaxed geometry, as listed in the Alexandria database.

Calculated values
**Space-group type**: Immm
**Energy relative to the elements, uncorrected**: 0.450 eV per atom

Lattice parameters (Å, degrees): 4.8496 4.8496 4.8496 141.36 119.85 73.81
Positions (direct):
Si 0.2480 0.2480 0.0000
Si 0.7520 0.7520 0.0000
As 0.0000 0.5000 0.5000
Os 0.5000 0.0000 0.5000


First-principles (PBE) data for crystalline Pm2TlHg4 at its relaxed geometry, as listed in the Alexandria database.

Calculated values
**Energy relative to the elements**: -21 kJ/mol of atoms
**Space-group type**: I4/mmm
**Offset from the most stable computed form**: 0.0911 eV/atom

Lattice parameters (Å, degrees): 10.6352 10.6352 10.6352 156.57 156.57 33.38
Positions (direct):
Pm 0.0970 0.0970 0.0000
Pm 0.9030 0.9030 0.0000
Tl 0.5000 0.5000 0.0000
Hg 0.2500 0.7500 0.5000
Hg 0.3520 0.3520 0.0000
Hg 0.6480 0.6480 0.0000
Hg 0.7500 0.2500 0.5000


First-principles (PBE) data for crystalline NaCaEuCd at its relaxed geometry, as listed in the Alexandria database.

Calculated values
**Energy relative to the elements**: -11 kJ/mol of atoms
**Space-group type**: F-43m

Lattice parameters (Å, degrees): 5.7033 5.7033 5.7033 60.00 60.00 60.00
Positions (direct):
Na 0.0000 0.0000 0.0000
Ca 0.7500 0.7500 0.7500
Eu 0.2500 0.2500 0.2500
Cd 0.5000 0.5000 0.5000


First-principles (PBE) data for crystalline CsSeBr3 at its relaxed geometry, as listed in the Alexandria database.

Calculated values
**Space-group type**: P6_3/mmc
**Energy relative to the elements, uncorrected**: -0.373 eV per atom

Lattice parameters (Å, degrees): 5.9560 5.9560 11.0485 90.00 90.00 120.00
Positions (direct):
Cs 0.3333 0.6667 0.2500
Cs 0.6667 0.3333 0.7500
Se 0.0000 0.0000 0.0000
Se 0.0000 0.0000 0.5000
Br 0.0000 0.0000 0.2500
Br 0.0000 0.0000 0.7500
Br 0.3333 0.6667 0.5597
Br 0.3333 0.6667 0.9403
Br 0.6667 0.3333 0.0597
Br 0.6667 0.3333 0.4403


First-principles (PBE) data for crystalline Ho2Mg5Sc at its relaxed geometry, as listed in the Alexandria database.

Calculated values
**Energy relative to the elements**: -4 kJ/mol of atoms
**Space-group type**: I4/mmm

Lattice parameters (Å, degrees): 8.4560 8.4560 8.4560 144.88 144.88 50.52
Positions (direct):
Ho 0.2457 0.2457 0.0000
Ho 0.7543 0.7543 0.0000
Mg 0.0000 0.0000 0.0000
Mg 0.1144 0.6144 0.5000
Mg 0.3856 0.8856 0.5000
Mg 0.6144 0.1144 0.5000
Mg 0.8856 0.3856 0.5000
Sc 0.5000 0.5000 0.0000


First-principles (PBE) data for crystalline CsSeN2 at its relaxed geometry, as listed in the Alexandria database.

Calculated values
**Space-group type**: Pnma
**Offset from the most stable computed form**: 0.0000 eV/atom
**Energy relative to the elements, uncorrected**: -0.436 eV per atom

Lattice parameters (Å, degrees): 4.9420 5.2714 20.2640 90.00 90.00 90.00
Positions (direct):
Cs 0.1833 0.2500 0.1560
Cs 0.3167 0.7500 0.6560
Cs 0.6833 0.2500 0.3440
Cs 0.8167 0.7500 0.8440
Se 0.1853 0.7500 0.2732
Se 0.3147 0.2500 0.7732
Se 0.6853 0.7500 0.2268
Se 0.8147 0.2500 0.7268
N 0.2486 0.1432 0.5190
N 0.2486 0.3568 0.5190
N 0.2514 0.6432 0.0190
N 0.2514 0.8568 0.0190
N 0.7486 0.1432 0.9810
N 0.7486 0.3568 0.9810
N 0.7514 0.6432 0.4810
N 0.7514 0.8568 0.4810


First-principles (PBE) data for crystalline SrTlCd2 at its relaxed geometry, as listed in the Alexandria database.

Calculated values
**Energy relative to the elements**: -19 kJ/mol of atoms
**Space-group type**: P4mm

Lattice parameters (Å, degrees): 3.8479 3.8479 7.7608 90.00 90.00 90.00
Positions (direct):
Sr 0.0000 0.0000 0.0000
Tl 0.5000 0.5000 0.2903
Cd 0.0000 0.0000 0.5204
Cd 0.5000 0.5000 0.7160